Entry 1:
DFT (GGA-PBEsol) results for a geometry-optimized AlRe2Hg structure.

```
AlRe2Hg
1.0
3.235 0.000 0.000
0.000 3.235 0.000
0.000 0.000 6.130
Hg Re Al
1 2 1
Direct
0.500 0.500 0.500
0.000 0.000 0.802
0.000 0.000 0.198
0.500 0.500 0.000
```

- density of states at the Fermi level (states/eV/f.u.) = 2.94
- total magnetic moment (μB per formula unit) = 0.000
- total energy (eV/cell) = -29.2
- volume (Å³ per cell) = 64.1

***

Entry 2:
DFT (GGA-PBEsol) results for a geometry-optimized BeCu2 structure.

```
BeCu2
1.0
-1.754 1.508 -0.902
0.941 -1.803 -1.426
-4.091 -3.629 1.889
Cu Be
2 1
Direct
0.333 0.667 0.317
0.667 0.333 0.683
0.000 0.000 0.000
```

- density of states at the Fermi level (states/eV/f.u.) = 0.67
- total magnetic moment (μB per formula unit) = 0.000
- total energy (eV/cell) = -12.7
- volume (Å³ per cell) = 30.9

***

Entry 3:
DFT (GGA-PBEsol) results for a geometry-optimized AgC3 structure.

```
AgC3
1.0
4.112 0.000 0.000
0.000 4.112 0.000
0.000 0.000 4.112
C Ag
3 1
Direct
0.500 0.000 0.000
0.000 0.500 0.000
0.000 0.000 0.500
0.000 0.000 0.000
```

- density of states at the Fermi level (states/eV/f.u.) = 4.72
- total magnetic moment (μB per formula unit) = 0.422
- total energy (eV/cell) = -14.5
- volume (Å³ per cell) = 69.5

***

Entry 4:
DFT (GGA-PBEsol) results for a geometry-optimized K2Cd2B structure.

```
K2Cd2B
1.0
-0.231 -3.860 0.581
2.961 -0.553 -2.494
5.187 2.960 8.568
Cd B K
2 1 2
Direct
0.250 0.750 0.500
0.750 0.250 0.500
0.000 0.000 0.000
0.587 0.587 0.175
0.413 0.413 0.825
```

- density of states at the Fermi level (states/eV/f.u.) = 2.57
- total magnetic moment (μB per formula unit) = 1.292
- total energy (eV/cell) = -7.5
- volume (Å³ per cell) = 154.0

***

Entry 5:
DFT (GGA-PBEsol) results for a geometry-optimized LaNi2Ir structure.

```
LaNi2Ir
1.0
4.200 0.000 0.000
-2.100 3.637 -0.034
0.000 -2.387 4.827
Ni La Ir
2 1 1
Direct
0.061 0.122 0.184
0.758 0.516 0.274
0.247 0.493 0.737
0.435 0.869 0.305
```

- density of states at the Fermi level (states/eV/f.u.) = 2.73
- total magnetic moment (μB per formula unit) = 0.000
- total energy (eV/cell) = -28.8
- volume (Å³ per cell) = 73.4

***

Entry 6:
DFT (GGA-PBEsol) results for a geometry-optimized CsDyCdTe3 structure.

```
CsDyCdTe3
1.0
4.443 0.000 0.000
-2.222 8.380 0.000
0.000 0.000 11.614
Cs Dy Te Cd
2 2 6 2
Direct
0.751 0.502 0.250
0.249 0.498 0.750
0.000 0.000 0.500
0.000 0.000 0.000
0.376 0.752 0.455
0.067 0.134 0.250
0.624 0.248 0.955
0.376 0.752 0.045
0.933 0.866 0.750
0.624 0.248 0.545
0.538 0.077 0.750
0.462 0.923 0.250
```

- formation energy from raw total energies (eV/f.u.) = -6.38
- density of states at the Fermi level (states/eV/f.u.) = 0.00
- total magnetic moment (μB per formula unit) = 0.000
- volume (Å³ per cell) = 432.4

***

Entry 7:
DFT (GGA-PBEsol) results for a geometry-optimized TaB2Mo2 structure.

```
TaB2Mo2
1.0
3.154 0.000 0.000
0.000 6.065 0.000
0.000 0.000 6.065
Mo B Ta
4 4 2
Direct
0.500 0.326 0.174
0.500 0.674 0.826
0.500 0.826 0.326
0.500 0.174 0.674
0.000 0.889 0.611
0.000 0.111 0.389
0.000 0.611 0.111
0.000 0.389 0.889
0.000 0.000 0.000
0.000 0.500 0.500
```

- density of states at the Fermi level (states/eV/f.u.) = 2.54
- total magnetic moment (μB per formula unit) = 0.000
- total energy (eV/cell) = -105.4
- volume (Å³ per cell) = 116.0

***

Entry 8:
DFT (GGA-PBEsol) results for a geometry-optimized Tl3Bi structure.

```
Tl3Bi
1.0
-3.469 2.974 1.732
-3.406 -2.615 -2.332
-0.492 -2.863 3.929
Tl Bi
3 1
Direct
0.500 0.500 0.000
0.500 0.000 0.500
0.000 0.500 0.500
0.000 0.000 0.000
```

- density of states at the Fermi level (states/eV/f.u.) = 2.05
- total magnetic moment (μB per formula unit) = 0.000
- total energy (eV/cell) = -12.3
- volume (Å³ per cell) = 116.7

***

Among the records above, which one has the lowest volume?
BeCu2

***

Which of these has the lowest volume?
BeCu2